[1]
An optimized crystal structure of MnCd2PN. Source: the Alexandria database, functional PBE-GGA.

Calculated values
Crystal system = tetragonal
Calculated total energy = -4.160 eV/atom
Space group = P4/mmm (123)

POSCAR file:
```
MnCd2PN
1.0
5.372 0.000 0.000
0.000 5.372 0.000
0.000 0.000 3.349
Cd P N Mn
2 1 1 1
Cartesian
2.686 0.000 0.000 Cd
0.000 2.686 0.000 Cd
0.000 0.000 1.675 P
0.000 0.000 0.000 N
2.686 2.686 1.675 Mn
```


[2]
An optimized crystal structure of Pa3Mn4CdN12. Source: the Alexandria database, functional PBE-GGA.

Calculated values
Crystal system = trigonal
Calculated total energy = -8.606 eV/atom
Space group = R32 (155)

POSCAR file:
```
Pa3Mn4CdN12
1.0
7.061 -0.057 -0.080
-1.757 6.839 -0.080
-1.757 -2.246 6.460
N Mn Pa Cd
12 4 3 1
Cartesian
0.432 6.156 1.202 N
-0.895 0.223 6.219 N
-1.663 4.956 3.150 N
1.773 -1.274 5.699 N
0.400 3.342 3.150 N
5.871 0.536 2.185 N
5.210 3.121 0.601 N
4.442 -1.292 4.115 N
1.773 0.853 4.169 N
3.147 2.608 2.132 N
-2.324 2.633 5.099 N
3.115 5.350 0.081 N
5.770 -0.858 3.150 Mn
1.773 2.268 3.150 Mn
-2.223 1.275 6.115 Mn
1.773 6.386 0.186 Mn
-1.757 2.727 2.880 Pa
3.070 3.064 -0.080 Pa
2.234 -1.256 3.500 Pa
0.000 0.000 0.000 Cd
```


[3]
An optimized crystal structure of MnCdReN2. Source: the Alexandria database, functional PBE-GGA.

Calculated values
Crystal system = tetragonal
Calculated total energy = -6.452 eV/atom
Space group = P4/mmm (123)

POSCAR file:
```
MnCdReN2
1.0
-2.410 -1.198 -2.615
-3.233 -1.020 3.447
-1.406 3.467 -0.293
N Cd Mn Re
2 1 1 1
Cartesian
-0.703 1.733 -0.146 N
-1.205 -0.599 -1.307 N
-3.524 0.625 0.270 Cd
0.000 0.000 0.000 Mn
-1.617 -0.510 1.723 Re
```


[4]
An optimized crystal structure of Mn2CdRuN. Source: the Alexandria database, functional PBE-GGA.

Calculated values
Crystal system = tetragonal
Calculated total energy = -7.388 eV/atom
Space group = P4/mmm (123)

POSCAR file:
```
Mn2CdRuN
1.0
4.042 0.000 0.000
0.000 4.042 0.000
0.000 0.000 4.050
Ru Mn N Cd
1 2 1 1
Cartesian
0.000 0.000 2.025 Ru
0.000 2.021 0.000 Mn
2.021 0.000 0.000 Mn
0.000 0.000 0.000 N
2.021 2.021 2.025 Cd
```


[5]
An optimized crystal structure of MnCdRu2N. Source: the Alexandria database, functional PBE-GGA.

Calculated values
Crystal system = tetragonal
Calculated total energy = -7.316 eV/atom
Space group = P4/mmm (123)

POSCAR file:
```
MnCdRu2N
1.0
-0.902 -1.790 -3.589
-1.807 -3.103 2.002
-3.468 1.953 -0.103
Ru N Cd Mn
2 1 1 1
Cartesian
-0.451 -0.895 -1.794 Ru
-0.903 -1.551 1.001 Ru
0.000 0.000 0.000 N
-3.088 -1.470 -0.845 Cd
-1.734 0.977 -0.052 Mn
```


[6]
An optimized crystal structure of MnCdSN2. Source: the Alexandria database, functional PBE-GGA.

Calculated values
Crystal system = tetragonal
Excess energy over the best structure of this formula in the dataset = 1287 meV per atom
Space group = P4/mmm (123)

POSCAR file:
```
MnCdSN2
1.0
-1.549 1.451 3.548
-3.381 -2.320 -0.527
2.480 -4.258 2.824
Mn S N Cd
1 1 2 1
Cartesian
-1.225 -2.563 2.922 Mn
1.240 -2.129 1.412 S
-0.774 0.725 1.774 N
-1.690 -1.160 -0.264 N
0.000 0.000 0.000 Cd
```


[7]
An optimized crystal structure of MnCdSN2. Source: the Alexandria database, functional PBE-GGA.

Calculated values
Crystal system = tetragonal
Excess energy over the best structure of this formula in the dataset = 0 meV per atom
Space group = P4/mmm (123)

POSCAR file:
```
MnCdSN2
1.0
-0.353 -3.621 -0.188
3.287 -0.399 1.518
-2.191 -0.033 4.735
Mn N S Cd
1 2 1 1
Cartesian
0.000 0.000 0.000 Mn
1.644 -0.200 0.759 N
-0.176 -1.810 -0.094 N
-1.095 -0.017 2.368 S
0.372 -2.027 3.032 Cd
```


[8]
An optimized crystal structure of MnCdSeN2. Source: the Alexandria database, functional PBE-GGA.

Calculated values
Crystal system = tetragonal
Excess energy over the best structure of this formula in the dataset = 0 meV per atom
Space group = P4/mmm (123)

POSCAR file:
```
MnCdSeN2
1.0
-2.247 0.798 -2.826
-1.061 -3.539 -0.156
-3.995 1.046 3.472
Cd Mn Se N
1 1 1 2
Cartesian
-3.652 -0.847 0.245 Cd
0.000 0.000 0.000 Mn
-1.997 0.523 1.736 Se
-0.531 -1.769 -0.078 N
-1.124 0.399 -1.413 N
```